1.
DFT (PBE) results for a geometry-optimized ErGeAu2 structure.

abc: 4.363 4.363 4.226
angles: 90.00 90.00 90.00
Space group P4/mmm (No. 123)
Asymmetric unit:
Er: 0.000 0.000 0.000 x1
Ge: 0.500 0.500 0.000 x1
Au: 0.000 0.500 0.500 x2


2.
DFT (PBE) results for a geometry-optimized ErHgGeAu structure.

abc: 7.003 7.003 7.003
angles: 90.00 90.00 90.00
Space group F-43m (No. 216)
Asymmetric unit:
Er: 0.000 0.000 0.000 x4
Hg: 0.250 0.250 0.750 x4
Ge: 0.000 0.000 0.500 x4
Au: 0.250 0.250 0.250 x4


Computed values of electronic total energy (unit: eV/atom) for the preceding records, in sequence: -4.459; -3.566.